Entry from Alexandria via LeMat-Bulk: CoTc2Cl after structural relaxation (PBE).

Lattice parameters (Å, degrees): 8.3073 2.7833 7.4175 90.00 121.85 90.00
Space group C2/m (No. 12)
Unique sites:
Co1 0.0000 0.0000 0.0000
Tc1 0.2126 0.0000 0.8405
Cl1 0.0000 0.5000 0.5000

Properties
- Relative energy among the computed polymorphs: 22.2 kJ per mole of atoms
- ΔE_f (raw): 0.53 eV/atom
- Volume: 145.7 Å³ per cell
- DOS at the Fermi energy: 3.88 states/eV/f.u.

Entry from Alexandria via LeMat-Bulk: CoTc2Cl after structural relaxation (PBE).

Lattice parameters (Å, degrees): 2.9071 4.8068 8.4274 90.00 90.00 90.00
Space group Cmm2 (No. 35)
Unique sites:
Co1 0.0000 0.0000 0.0000
Tc1 0.0000 0.0000 0.4988
Tc2 0.0000 0.5000 0.2494
Cl1 0.0000 0.5000 0.7737

Properties
- Relative energy among the computed polymorphs: 21.9 kJ per mole of atoms
- ΔE_f (raw): 0.52 eV/atom
- Volume: 117.8 Å³ per cell
- DOS at the Fermi energy: 5.39 states/eV/f.u.

Entry from Alexandria via LeMat-Bulk: CoTc2Cl after structural relaxation (PBE).

Lattice parameters (Å, degrees): 5.9602 5.9602 5.9602 90.00 90.00 90.00
Space group Fm-3m (No. 225)
Unique sites:
Co1 0.0000 0.0000 0.0000
Tc1 0.2500 0.2500 0.2500
Cl1 0.0000 0.0000 0.5000

Properties
- Relative energy among the computed polymorphs: 42.0 kJ per mole of atoms
- ΔE_f (raw): 0.73 eV/atom
- Volume: 211.7 Å³ per cell
- DOS at the Fermi energy: 1.83 states/eV/f.u.